--- A ---
Computed, not measured: crystalline Ba3Te4Pb at its relaxed geometry at the PBE-GGA level of DFT.

The structure belongs to space group P2/c (No. 13); the cell edges are 8.528, 9.856 and 8.531 Å and the angles 90.00°, 109.46° and 90.00°. The asymmetric unit holds Ba at (0.000, 0.125, 0.250), Ba at (0.000, 0.371, 0.750), Ba at (0.500, 0.372, 0.250), Te at (0.254, 0.370, 0.506), Te at (0.263, 0.116, 0.999) and Pb at (0.500, 0.123, 0.750).

As for the size of the total moment: 0.00 Bohr magnetons per cell. The density is 5.55 g/cm³. The volume is 42.3 A^3/atom.


--- B ---
Computed, not measured: crystalline Ba3Te4Pb at its relaxed geometry at the PBE-GGA level of DFT.

The structure belongs to space group Pmn2_1 (No. 31); the cell edges are 11.810, 10.121 and 6.980 Å and the angles 90.00°, 90.00° and 90.00°. The asymmetric unit holds Ba at (0.000, 0.156, 0.000), Ba at (0.246, 0.331, 0.500), Te at (0.000, 0.146, 0.499), Te at (0.000, 0.822, 0.022), Te at (0.244, 0.674, 0.499) and Pb at (0.000, 0.826, 0.467).

As for the size of the total moment: 0.00 Bohr magnetons per cell. The density is 4.50 g/cm³. The volume is 52.2 A^3/atom.


Most stable one: A, least stable one: B.


--- A ---
Computed, not measured: crystalline Ba2TePb at its relaxed geometry at the PBE-GGA level of DFT.

The structure belongs to space group R-3m (No. 166, hexagonal axes); the cell edges are 4.7138, 4.7138 and 28.5173 Å and the angles 90.00°, 90.00° and 120.00°. The asymmetric unit holds Ba at (0.0000, 0.0000, 0.2423), Te at (0.0000, 0.0000, 0.5000) and Pb at (0.0000, 0.0000, 0.0000).

As for the size of the total moment: 0.00 Bohr magnetons per cell. The density is 5.53 g/cm³. The volume is 45.7 A^3/atom.


--- B ---
Computed, not measured: crystalline Ba2TePb at its relaxed geometry at the PBE-GGA level of DFT.

The structure belongs to space group Cm (No. 8); the cell edges are 13.341, 4.355 and 5.775 Å and the angles 90.00°, 96.76° and 90.00°. The asymmetric unit holds Ba at (0.000, 0.000, 0.000), Ba at (0.249, 0.000, 0.463), Te at (0.019, 0.500, 0.511) and Pb at (0.230, 0.500, 0.946).

As for the size of the total moment: 0.00 Bohr magnetons per cell. The density is 6.07 g/cm³. The volume is 41.7 A^3/atom.


Most stable one: A, least stable one: B.